No. 1
Entry from the Alexandria database: crystalline AgSb3H at its relaxed geometry (PBE-GGA).

VASP energy in eV per atom: -2.6097

abc: 5.4213 5.4213 5.4213
angles: 90.00 90.00 90.00
Atoms (fractional coordinates):
1 Ag 0.0000 0.0000 0.0000
2 Sb 0.0000 0.0000 0.5000
3 Sb 0.0000 0.5000 0.0000
4 Sb 0.5000 0.0000 0.0000
5 H 0.5000 0.5000 0.5000

No. 2
Entry from the Alexandria database: crystalline MgMn8 at its relaxed geometry (PBE-GGA).

ΔE_f in eV/f.u.: 1.99

abc: 5.6613 5.6613 5.6613
angles: 95.92 95.92 142.54
Atoms (fractional coordinates):
1 Mg 0.0000 0.0000 0.0000
2 Mn 0.0000 0.3484 0.3484
3 Mn 0.0000 0.6516 0.6516
4 Mn 0.3153 0.3153 0.6307
5 Mn 0.3153 0.6847 0.0000
6 Mn 0.3484 0.0000 0.3484
7 Mn 0.6516 0.0000 0.6516
8 Mn 0.6847 0.3153 0.0000
9 Mn 0.6847 0.6847 0.3693

No. 3
Entry from the Alexandria database: crystalline Ta2MnCl at its relaxed geometry (PBE-GGA).

Raw formation energy in eV per atom: 0.2125

abc: 3.1509 4.9643 8.4569
angles: 90.00 90.00 90.00
Atoms (fractional coordinates):
1 Ta 0.0000 0.0000 0.2303
2 Ta 0.0000 0.0000 0.7697
3 Ta 0.5000 0.5000 0.2303
4 Ta 0.5000 0.5000 0.7697
5 Mn 0.0000 0.5000 0.0000
6 Mn 0.5000 0.0000 0.0000
7 Cl 0.0000 0.5000 0.5000
8 Cl 0.5000 0.0000 0.5000

No. 4
Entry from the Alexandria database: crystalline ZnAsRuBr2 at its relaxed geometry (PBE-GGA).

Raw formation energy in eV per atom: 0.3226

abc: 5.2313 5.2313 4.6671
angles: 90.00 90.00 90.00
Atoms (fractional coordinates):
1 Zn 0.0000 0.0000 0.0000
2 As 0.5000 0.5000 0.0000
3 Ru 0.5000 0.5000 0.5000
4 Br 0.0000 0.5000 0.5000
5 Br 0.5000 0.0000 0.5000

No. 5
Entry from the Alexandria database: crystalline TaBe2Re at its relaxed geometry (PBE-GGA).

ΔE_f in eV/f.u.: 0.20

abc: 3.5505 3.5505 8.1489
angles: 90.00 90.00 90.00
Atoms (fractional coordinates):
1 Ta 0.0000 0.0000 0.0000
2 Ta 0.5000 0.5000 0.5000
3 Be 0.0000 0.0000 0.5000
4 Be 0.0000 0.5000 0.7500
5 Be 0.5000 0.0000 0.2500
6 Be 0.5000 0.5000 0.0000
7 Re 0.0000 0.5000 0.2500
8 Re 0.5000 0.0000 0.7500

No. 6
Entry from the Alexandria database: crystalline NaMg2NiSn at its relaxed geometry (PBE-GGA).

ΔE_f in eV/f.u.: -0.55

abc: 4.9609 4.9609 4.8256
angles: 90.00 90.00 90.00
Atoms (fractional coordinates):
1 Na 0.0000 0.0000 0.0000
2 Mg 0.0000 0.5000 0.5000
3 Mg 0.5000 0.0000 0.5000
4 Ni 0.5000 0.5000 0.5000
5 Sn 0.5000 0.5000 0.0000

No. 7
Entry from the Alexandria database: crystalline ZrZnCo at its relaxed geometry (PBE-GGA).

ΔE_f in eV/f.u.: -0.15

abc: 5.9486 5.9486 5.9486
angles: 90.00 90.00 90.00
Atoms (fractional coordinates):
1 Zr 0.0000 0.0000 0.0000
2 Zr 0.0000 0.5000 0.5000
3 Zr 0.5000 0.0000 0.5000
4 Zr 0.5000 0.5000 0.0000
5 Zn 0.0000 0.0000 0.5000
6 Zn 0.0000 0.5000 0.0000
7 Zn 0.5000 0.0000 0.0000
8 Zn 0.5000 0.5000 0.5000
9 Co 0.2500 0.2500 0.7500
10 Co 0.2500 0.7500 0.2500
11 Co 0.7500 0.2500 0.2500
12 Co 0.7500 0.7500 0.7500

No. 8
Entry from the Alexandria database: crystalline TlNiHPd2 at its relaxed geometry (PBE-GGA).

VASP energy in eV per atom: -4.4939

abc: 4.0753 4.0753 3.9816
angles: 90.00 90.00 90.00
Atoms (fractional coordinates):
1 Tl 0.0000 0.0000 0.0000
2 Ni 0.5000 0.5000 0.0000
3 H 0.5000 0.5000 0.5000
4 Pd 0.0000 0.5000 0.5000
5 Pd 0.5000 0.0000 0.5000

No. 9
Entry from the Alexandria database: crystalline Pr2NdIr2 at its relaxed geometry (PBE-GGA).

ΔE_f in eV/f.u.: -2.88

abc: 5.8609 4.4709 10.8044
angles: 90.00 99.25 90.00
Atoms (fractional coordinates):
1 Pr 0.1092 0.2500 0.3846
2 Pr 0.2312 0.7500 0.9651
3 Pr 0.7688 0.2500 0.0349
4 Pr 0.8908 0.7500 0.6154
5 Nd 0.4591 0.2500 0.7075
6 Nd 0.5409 0.7500 0.2925
7 Ir 0.3079 0.2500 0.1380
8 Ir 0.3442 0.7500 0.5317
9 Ir 0.6558 0.2500 0.4683
10 Ir 0.6921 0.7500 0.8620

No. 10
Entry from the Alexandria database: crystalline Nb3VRe4 at its relaxed geometry (PBE-GGA).

ΔE_f in eV/f.u.: -2.13

abc: 3.1704 3.1704 12.6817
angles: 90.00 90.00 90.00
Atoms (fractional coordinates):
1 Nb 0.0000 0.0000 0.0000
2 Nb 0.0000 0.0000 0.2553
3 Nb 0.0000 0.0000 0.7447
4 V 0.0000 0.0000 0.5000
5 Re 0.5000 0.5000 0.1275
6 Re 0.5000 0.5000 0.3832
7 Re 0.5000 0.5000 0.6168
8 Re 0.5000 0.5000 0.8725

No. 11
Entry from the Alexandria database: crystalline Ba2NbWN5 at its relaxed geometry (PBE-GGA).

Raw formation energy in eV per atom: -0.7828

abc: 8.0612 8.0612 11.5860
angles: 90.00 90.00 155.52
Atoms (fractional coordinates):
1 Ba 0.1152 0.8848 0.5000
2 Ba 0.1361 0.8639 0.1438
3 Ba 0.8639 0.1361 0.6438
4 Ba 0.8848 0.1152 0.0000
5 Nb 0.2145 0.7855 0.8576
6 Nb 0.7855 0.2145 0.3576
7 W 0.4418 0.5582 0.2661
8 W 0.5582 0.4418 0.7661
9 N 0.0368 0.9632 0.8428
10 N 0.2928 0.7072 0.4589
11 N 0.3272 0.6728 0.2199
12 N 0.3294 0.6706 0.8272
13 N 0.4980 0.5020 0.1305
14 N 0.5020 0.4980 0.6305
15 N 0.6706 0.3294 0.3272
16 N 0.6728 0.3272 0.7199
17 N 0.7072 0.2928 0.9589
18 N 0.9632 0.0368 0.3428

No. 12
Entry from the Alexandria database: crystalline HoGa4Sb at its relaxed geometry (PBE-GGA).

Raw formation energy in eV per atom: -0.2238

abc: 5.5934 5.5934 5.5934
angles: 60.00 60.00 60.00
Atoms (fractional coordinates):
1 Ho 0.0000 0.0000 0.0000
2 Ga 0.1248 0.6251 0.6251
3 Ga 0.6251 0.1248 0.6251
4 Ga 0.6251 0.6251 0.1248
5 Ga 0.6251 0.6251 0.6251
6 Sb 0.2500 0.2500 0.2500

No. 13
Entry from the Alexandria database: crystalline Pr2Nd2Pt15 at its relaxed geometry (PBE-GGA).

ΔE_f in eV/f.u.: -12.86

abc: 7.1620 7.1620 7.1620
angles: 82.65 82.65 82.65
Atoms (fractional coordinates):
1 Pr 0.1402 0.1402 0.1402
2 Pr 0.8598 0.8598 0.8598
3 Nd 0.3937 0.3937 0.3937
4 Nd 0.6063 0.6063 0.6063
5 Pt 0.0000 0.5000 0.5000
6 Pt 0.1524 0.1524 0.6644
7 Pt 0.1524 0.6644 0.1524
8 Pt 0.1840 0.5000 0.8160
9 Pt 0.1840 0.8160 0.5000
10 Pt 0.3356 0.8476 0.8476
11 Pt 0.5000 0.0000 0.5000
12 Pt 0.5000 0.1840 0.8160
13 Pt 0.5000 0.5000 0.0000
14 Pt 0.5000 0.8160 0.1840
15 Pt 0.6644 0.1524 0.1524
16 Pt 0.8160 0.1840 0.5000
17 Pt 0.8160 0.5000 0.1840
18 Pt 0.8476 0.3356 0.8476
19 Pt 0.8476 0.8476 0.3356

No. 14
Entry from the Alexandria database: crystalline SrHfPO2 at its relaxed geometry (PBE-GGA).

Raw formation energy in eV per atom: -0.1572

abc: 4.1672 4.1672 5.7671
angles: 90.00 90.00 90.00
Atoms (fractional coordinates):
1 Sr 0.0000 0.0000 0.0000
2 Hf 0.5000 0.5000 0.5000
3 P 0.0000 0.0000 0.5000
4 O 0.0000 0.5000 0.0000
5 O 0.5000 0.0000 0.0000

No. 15
Entry from the Alexandria database: crystalline ZnRePt2 at its relaxed geometry (PBE-GGA).

ΔE_f in eV/f.u.: 0.48

abc: 6.2232 6.2232 6.2232
angles: 90.00 90.00 90.00
Atoms (fractional coordinates):
1 Zn 0.0000 0.0000 0.0000
2 Zn 0.0000 0.5000 0.5000
3 Zn 0.5000 0.0000 0.5000
4 Zn 0.5000 0.5000 0.0000
5 Re 0.2500 0.2500 0.7500
6 Re 0.2500 0.7500 0.2500
7 Re 0.7500 0.2500 0.2500
8 Re 0.7500 0.7500 0.7500
9 Pt 0.0000 0.0000 0.5000
10 Pt 0.0000 0.5000 0.0000
11 Pt 0.2500 0.2500 0.2500
12 Pt 0.2500 0.7500 0.7500
13 Pt 0.5000 0.0000 0.0000
14 Pt 0.5000 0.5000 0.5000
15 Pt 0.7500 0.2500 0.7500
16 Pt 0.7500 0.7500 0.2500

No. 16
Entry from the Alexandria database: crystalline MgH3Pd4 at its relaxed geometry (PBE-GGA).

VASP energy in eV per atom: -4.2497

abc: 13.7816 2.8311 4.6539
angles: 90.00 105.56 90.00
Atoms (fractional coordinates):
1 Mg 0.0000 0.0000 0.0000
2 Mg 0.5000 0.5000 0.0000
3 H 0.0000 0.5000 0.5000
4 H 0.2004 0.5000 0.7638
5 H 0.2996 0.0000 0.2362
6 H 0.5000 0.0000 0.5000
7 H 0.7004 0.0000 0.7638
8 H 0.7996 0.5000 0.2362
9 Pd 0.1052 0.0000 0.5878
10 Pd 0.1846 0.5000 0.1577
11 Pd 0.3154 0.0000 0.8423
12 Pd 0.3948 0.5000 0.4122
13 Pd 0.6052 0.5000 0.5878
14 Pd 0.6846 0.0000 0.1577
15 Pd 0.8154 0.5000 0.8423
16 Pd 0.8948 0.0000 0.4122

No. 17
Entry from the Alexandria database: crystalline PPtSe2 at its relaxed geometry (PBE-GGA).

Raw formation energy in eV per atom: 0.2074

abc: 2.8370 2.8370 10.7069
angles: 90.00 90.00 90.00
Atoms (fractional coordinates):
1 P 0.0000 0.0000 0.0000
2 Pt 0.5000 0.5000 0.1374
3 Se 0.0000 0.0000 0.3473
4 Se 0.5000 0.5000 0.7029

No. 18
Entry from the Alexandria database: crystalline Sm4Ho5Th2 at its relaxed geometry (PBE-GGA).

ΔE_f in eV/f.u.: 2.87

abc: 10.9747 10.9747 10.9747
angles: 161.72 116.52 66.67
Atoms (fractional coordinates):
1 Sm 0.0908 0.0908 0.0000
2 Sm 0.2330 0.5000 0.7330
3 Sm 0.7670 0.5000 0.2670
4 Sm 0.9092 0.9092 0.0000
5 Ho 0.0288 0.3200 0.7088
6 Ho 0.3889 0.6800 0.7088
7 Ho 0.5000 0.0000 0.5000
8 Ho 0.6111 0.3200 0.2912
9 Ho 0.9712 0.6800 0.2912
10 Th 0.2984 0.2984 0.0000
11 Th 0.7016 0.7016 0.0000

No. 19
Entry from the Alexandria database: crystalline MgBePt2 at its relaxed geometry (PBE-GGA).

ΔE_f in eV/f.u.: -2.38

abc: 9.6622 2.9195 4.2617
angles: 90.00 109.89 90.00
Atoms (fractional coordinates):
1 Mg 0.0000 0.0000 0.0000
2 Mg 0.5000 0.5000 0.0000
3 Be 0.2635 0.5000 0.3291
4 Be 0.7635 0.0000 0.3291
5 Pt 0.2364 0.0000 0.7984
6 Pt 0.4643 0.0000 0.4656
7 Pt 0.7364 0.5000 0.7984
8 Pt 0.9643 0.5000 0.4656

No. 20
Entry from the Alexandria database: crystalline Ce6MnIn2 at its relaxed geometry (PBE-GGA).

ΔE_f in eV/f.u.: -1.61

abc: 6.9315 6.9315 6.9315
angles: 120.56 120.51 89.07
Atoms (fractional coordinates):
1 Ce 0.2413 0.2413 0.0000
2 Ce 0.2746 0.2757 0.5503
3 Ce 0.2746 0.7243 0.9989
4 Ce 0.7254 0.2757 0.0011
5 Ce 0.7254 0.7243 0.4497
6 Ce 0.7587 0.7587 0.0000
7 Mn 0.0000 0.0000 0.0000
8 In 0.2504 0.7504 0.5000
9 In 0.7496 0.2496 0.5000

Number 1: size of the total moment 0.86 μB/f.u.. Number 2: size of the total moment 0.01 μB/f.u.. Number 3: size of the total moment 0.98 μB/f.u.. Number 4: size of the total moment 0.10 μB/f.u.. Number 5: size of the total moment 0.00 μB/f.u.. Number 6: size of the total moment 0.00 μB/f.u.. Number 7: size of the total moment 0.00 μB/f.u.. Number 8: size of the total moment 0.00 μB/f.u.. Number 9: size of the total moment 0.00 μB/f.u.. Number 10: size of the total moment 0.00 μB/f.u.. Number 11: size of the total moment 0.00 μB/f.u.. Number 12: size of the total moment 0.00 μB/f.u.. Number 13: size of the total moment 0.00 μB/f.u.. Number 14: size of the total moment 0.60 μB/f.u.. Number 15: size of the total moment 0.00 μB/f.u.. Number 16: size of the total moment 0.00 μB/f.u.. Number 17: size of the total moment 0.00 μB/f.u.. Number 18: size of the total moment 0.00 μB/f.u.. Number 19: size of the total moment 0.00 μB/f.u.. Number 20: size of the total moment 1.96 μB/f.u..